1.
Below is BeFe3As after structural relaxation, with properties calculated at the GGA-PBE level.

Cell lengths 4.3105, 4.3105, 4.3105 Å; angles 90.00, 90.00, 90.00 degrees
Last column: nearest neighbours and their distance in Å.
Atoms (fractional coordinates):
Fe1 0.5000 0.0000 0.0000  2 As 2.16
Fe2 0.0000 0.0000 0.5000  2 As 2.16
Fe3 0.0000 0.5000 0.0000  2 As 2.16
As1 0.0000 0.0000 0.0000  6 Fe 2.16
Be1 0.5000 0.5000 0.5000  12 Fe 3.05

Output
- distance to the lowest polymorph of the same formula (meV per atom) = 334.1
- DOS at the Fermi energy (states/eV/f.u.) = 6.5

2.
Below is PrGdSiPd after structural relaxation, with properties calculated at the GGA-PBE level.

Cell lengths 5.1078, 5.1078, 5.1078 Å; angles 60.00, 60.00, 60.00 degrees
Last column: nearest neighbours and their distance in Å.
Atoms (fractional coordinates):
Pr1 0.0000 0.0000 0.0000  4 Pd 3.13, 4 Si 3.13
Pd1 0.2500 0.2500 0.2500  4 Gd 3.13, 4 Pr 3.13
Gd1 0.5000 0.5000 0.5000  4 Si 3.13, 4 Pd 3.13
Si1 0.7500 0.7500 0.7500  4 Gd 3.13, 4 Pr 3.13

Output
- DOS at the Fermi energy (states/eV/f.u.) = 3.3
- ΔE_f (raw) (eV/atom) = -0.643

3.
Below is Ca2CdTe after structural relaxation, with properties calculated at the GGA-PBE level.

Cell lengths 4.5221, 4.5264, 6.4609 Å; angles 90.00, 90.00, 90.00 degrees
Last column: nearest neighbours and their distance in Å.
Atoms (fractional coordinates):
Ca1 0.5000 0.5000 0.3749  4 Cd 3.20, 2 Te 3.23
Ca2 0.0000 0.0000 0.8751  4 Te 3.20, 2 Cd 3.23
Te1 0.5000 0.5000 0.8747  6 Ca 3.20-3.23
Cd1 0.0000 0.0000 0.3753  6 Ca 3.20-3.23

Output
- distance to the lowest polymorph of the same formula (meV per atom) = 112.7
- DOS at the Fermi energy (states/eV/f.u.) = 4.4
- ΔE_f (raw) (eV/atom) = -0.728

4.
Below is Rb5Sr3I12 after structural relaxation, with properties calculated at the GGA-PBE level.

Cell lengths 17.8607, 17.8607, 17.8607 Å; angles 109.47, 109.47, 109.47 degrees
Last column: nearest neighbours and their distance in Å.
Atoms (fractional coordinates):
I1 0.7407 0.6131 0.1720  1 Sr 3.35, 2 Rb 3.50-3.64
I2 0.6275 0.0687 0.2407  1 Sr 3.35, 2 Rb 3.50-3.64
I3 0.4313 0.6720 0.0588  1 Sr 3.35, 2 Rb 3.50-3.64
I4 0.4412 0.3725 0.6131  1 Sr 3.35, 2 Rb 3.50-3.64
I5 0.5687 0.2407 0.1275  1 Sr 3.35, 2 Rb 3.50-3.64
I6 0.9412 0.1131 0.8725  1 Sr 3.35, 2 Rb 3.50-3.64
I7 0.1131 0.1720 0.2407  1 Sr 3.35, 2 Rb 3.50-3.64
I8 0.2593 0.3869 0.8280  1 Sr 3.35, 2 Rb 3.50-3.64
I9 0.7407 0.1275 0.0687  1 Sr 3.35, 2 Rb 3.50-3.64
I10 0.3725 0.9313 0.7593  1 Sr 3.35, 2 Rb 3.50-3.64
I11 0.0588 0.1720 0.4313  1 Sr 3.35, 2 Rb 3.50-3.64
I12 0.6720 0.4313 0.5588  1 Sr 3.35, 2 Rb 3.50-3.64
I13 0.8869 0.8280 0.7593  1 Sr 3.35, 2 Rb 3.50-3.64
I14 0.4412 0.0687 0.3280  1 Sr 3.35, 2 Rb 3.50-3.64
I15 0.3869 0.1275 0.5588  1 Sr 3.35, 2 Rb 3.50-3.64
I16 0.2407 0.5687 0.6275  1 Sr 3.35, 2 Rb 3.50-3.64
I17 0.8725 0.6131 0.9412  1 Sr 3.35, 2 Rb 3.50-3.64
I18 0.0687 0.4412 0.8280  1 Sr 3.35, 2 Rb 3.50-3.64
I19 0.1720 0.1131 0.7407  1 Sr 3.35, 2 Rb 3.50-3.64
I20 0.5588 0.9313 0.6720  1 Sr 3.35, 2 Rb 3.50-3.64
I21 0.8869 0.0588 0.6275  1 Sr 3.35, 2 Rb 3.50-3.64
I22 0.3725 0.4412 0.1131  1 Sr 3.35, 2 Rb 3.50-3.64
I23 0.9412 0.8280 0.5687  1 Sr 3.35, 2 Rb 3.50-3.64
I24 0.3280 0.5687 0.4412  1 Sr 3.35, 2 Rb 3.50-3.64
I25 0.4313 0.7593 0.8725  1 Sr 3.35, 2 Rb 3.50-3.64
I26 0.8280 0.9412 0.0687  1 Sr 3.35, 2 Rb 3.50-3.64
I27 0.2407 0.6720 0.1131  1 Sr 3.35, 2 Rb 3.50-3.64
I28 0.1275 0.7407 0.5687  1 Sr 3.35, 2 Rb 3.50-3.64
I29 0.6131 0.7407 0.6720  1 Sr 3.35, 2 Rb 3.50-3.64
I30 0.2593 0.8725 0.9313  1 Sr 3.35, 2 Rb 3.50-3.64
I31 0.1131 0.9412 0.3725  1 Sr 3.35, 2 Rb 3.50-3.64
I32 0.0687 0.6275 0.7407  1 Sr 3.35, 2 Rb 3.50-3.64
I33 0.6275 0.5588 0.8869  1 Sr 3.35, 2 Rb 3.50-3.64
I34 0.8280 0.8869 0.2593  1 Sr 3.35, 2 Rb 3.50-3.64
I35 0.0588 0.8869 0.1275  1 Sr 3.35, 2 Rb 3.50-3.64
I36 0.6131 0.8725 0.4412  1 Sr 3.35, 2 Rb 3.50-3.64
I37 0.8725 0.2593 0.4313  1 Sr 3.35, 2 Rb 3.50-3.64
I38 0.1275 0.3869 0.0588  1 Sr 3.35, 2 Rb 3.50-3.64
I39 0.7593 0.3280 0.8869  1 Sr 3.35, 2 Rb 3.50-3.64
I40 0.5588 0.6275 0.3869  1 Sr 3.35, 2 Rb 3.50-3.64
I41 0.7593 0.4313 0.3725  1 Sr 3.35, 2 Rb 3.50-3.64
I42 0.6720 0.2407 0.6131  1 Sr 3.35, 2 Rb 3.50-3.64
I43 0.1720 0.0588 0.9313  1 Sr 3.35, 2 Rb 3.50-3.64
I44 0.9313 0.5588 0.1720  1 Sr 3.35, 2 Rb 3.50-3.64
I45 0.3280 0.7593 0.3869  1 Sr 3.35, 2 Rb 3.50-3.64
I46 0.3869 0.2593 0.3280  1 Sr 3.35, 2 Rb 3.50-3.64
I47 0.9313 0.3725 0.2593  1 Sr 3.35, 2 Rb 3.50-3.64
I48 0.5687 0.3280 0.9412  1 Sr 3.35, 2 Rb 3.50-3.64
Rb1 0.8750 0.6250 0.7500  4 I 3.50
Rb2 0.5000 0.5000 0.5000  6 I 3.64
Rb3 0.2500 0.3750 0.6250  4 I 3.50
Rb4 0.5000 0.0000 0.0000  6 I 3.64
Rb5 0.6250 0.8750 0.2500  4 I 3.50
Rb6 0.5000 0.5000 0.0000  6 I 3.64
Rb7 0.3750 0.1250 0.7500  4 I 3.50
Rb8 0.0000 0.0000 0.0000  6 I 3.64
Rb9 0.8750 0.2500 0.6250  4 I 3.50
Rb10 0.3750 0.2500 0.1250  4 I 3.50
Rb11 0.7500 0.1250 0.8750  4 I 3.50
Rb12 0.7500 0.6250 0.3750  4 I 3.50
Rb13 0.5000 0.0000 0.5000  6 I 3.64
Rb14 0.0000 0.0000 0.5000  6 I 3.64
Rb15 0.0000 0.5000 0.5000  6 I 3.64
Rb16 0.2500 0.8750 0.1250  4 I 3.50
Rb17 0.6250 0.7500 0.8750  4 I 3.50
Rb18 0.1250 0.7500 0.3750  4 I 3.50
Rb19 0.0000 0.5000 0.0000  6 I 3.64
Rb20 0.1250 0.3750 0.2500  4 I 3.50
Sr1 0.8750 0.7500 0.1250  4 I 3.35
Sr2 0.2500 0.6250 0.8750  4 I 3.35
Sr3 0.6250 0.3750 0.7500  4 I 3.35
Sr4 0.3750 0.7500 0.6250  4 I 3.35
Sr5 0.1250 0.8750 0.7500  4 I 3.35
Sr6 0.3750 0.6250 0.2500  4 I 3.35
Sr7 0.6250 0.2500 0.3750  4 I 3.35
Sr8 0.7500 0.8750 0.6250  4 I 3.35
Sr9 0.1250 0.2500 0.8750  4 I 3.35
Sr10 0.7500 0.3750 0.1250  4 I 3.35
Sr11 0.8750 0.1250 0.2500  4 I 3.35
Sr12 0.2500 0.1250 0.3750  4 I 3.35

Output
- DOS at the Fermi energy (states/eV/f.u.) = 25.1
- ΔE_f (raw) (eV/atom) = -1.330

5.
Below is ThNb2Ga2 after structural relaxation, with properties calculated at the GGA-PBE level.

Cell lengths 4.0799, 4.0799, 6.8702 Å; angles 107.27, 107.27, 90.00 degrees
Last column: nearest neighbours and their distance in Å.
Atoms (fractional coordinates):
Nb1 0.2500 0.7500 0.5000  4 Ga 2.75, 4 Nb 2.88
Nb2 0.7500 0.2500 0.5000  4 Ga 2.75, 4 Nb 2.88
Th1 0.0000 0.0000 0.0000  8 Ga 3.15
Ga1 0.6018 0.6018 0.2036  1 Ga 2.54, 4 Nb 2.75
Ga2 0.3982 0.3982 0.7964  1 Ga 2.54, 4 Nb 2.75

Output
- E (eV/cell) = -35.6
- DOS at the Fermi energy (states/eV/f.u.) = 3.2

6.
Below is NaMnRhSe3 after structural relaxation, with properties calculated at the GGA-PBE level.

Cell lengths 3.8571, 7.7842, 9.1645 Å; angles 108.69, 90.00, 90.00 degrees
Last column: nearest neighbours and their distance in Å.
Atoms (fractional coordinates):
Na1 0.7500 0.7803 0.7473  7 Se 3.11-3.21
Na2 0.2500 0.2197 0.2527  7 Se 3.11-3.21
Se1 0.7500 0.2507 0.5395  3 Mn 2.52-2.62, 1 Rh 2.72
Se2 0.2500 0.5399 0.8647  3 Rh 2.48-2.53
Se3 0.7500 0.4601 0.1353  3 Rh 2.48-2.53
Se4 0.2500 0.1202 0.8900  1 Mn 2.41, 2 Rh 2.60
Se5 0.7500 0.8798 0.1100  1 Mn 2.41, 2 Rh 2.60
Se6 0.2500 0.7493 0.4605  3 Mn 2.52-2.62, 1 Rh 2.72
Rh1 0.7500 0.3244 0.8504  6 Se 2.48-2.72
Rh2 0.2500 0.6756 0.1496  6 Se 2.48-2.72
Mn1 0.2500 0.0952 0.6212  4 Se 2.41-2.62
Mn2 0.7500 0.9048 0.3788  4 Se 2.41-2.62

Output
- DOS at the Fermi energy (states/eV/f.u.) = 2.9
- ΔE_f (raw) (eV/atom) = -0.561

7.
Below is PrSm2Pt3 after structural relaxation, with properties calculated at the GGA-PBE level.

Cell lengths 8.8247, 7.3241, 7.9132 Å; angles 117.57, 123.89, 90.00 degrees
Last column: nearest neighbours and their distance in Å.
Atoms (fractional coordinates):
Pt1 0.5000 0.1899 0.0000  1 Pt 2.78, 4 Sm 2.90-3.06, 2 Pr 3.07
Pt2 0.0000 0.6899 0.0000  1 Pt 2.78, 4 Sm 2.90-3.06, 2 Pr 3.07
Pt3 0.0000 0.5000 0.5000  4 Sm 2.91, 2 Pr 3.04
Pt4 0.5000 0.8101 0.0000  1 Pt 2.78, 4 Sm 2.90-3.06, 2 Pr 3.07
Pt5 0.0000 0.3101 0.0000  1 Pt 2.78, 4 Sm 2.90-3.06, 2 Pr 3.07
Pt6 0.0000 0.0000 0.5000  4 Sm 2.91, 2 Pr 3.04
Sm1 0.2560 0.4523 0.9046  6 Pt 2.90-3.06
Sm2 0.7440 0.5477 0.0954  6 Pt 2.90-3.06
Sm3 0.1486 0.9523 0.9046  6 Pt 2.90-3.06
Sm4 0.8514 0.0477 0.0954  6 Pt 2.90-3.06
Pr1 0.2754 0.7500 0.5000  6 Pt 3.04-3.07
Pr2 0.7246 0.2500 0.5000  6 Pt 3.04-3.07

Output
- E (eV/cell) = -74.9
- DOS at the Fermi energy (states/eV/f.u.) = 4.3

8.
Below is CaSi2W after structural relaxation, with properties calculated at the GGA-PBE level.

Cell lengths 3.2726, 3.2726, 6.9664 Å; angles 90.00, 90.00, 90.00 degrees
Last column: nearest neighbours and their distance in Å.
Atoms (fractional coordinates):
W1 0.0000 0.0000 0.4168  5 Si 2.47-2.54
Ca1 0.5000 0.5000 0.7545  5 Si 3.16-3.40, 4 Ca 3.27, 4 W 3.30
Si1 0.0000 0.0000 0.0624  1 W 2.47, 4 Si 2.72
Si2 0.5000 0.5000 0.2663  4 W 2.54, 4 Si 2.72

Output
- distance to the lowest polymorph of the same formula (meV per atom) = 286.3
- DOS at the Fermi energy (states/eV/f.u.) = 2.6
- ΔE_f (raw) (eV/atom) = 0.139

9.
Below is Pm4Sm5Dy3 after structural relaxation, with properties calculated at the GGA-PBE level.

Cell lengths 5.9761, 8.6836, 9.7728 Å; angles 106.02, 72.20, 69.87 degrees
Last column: nearest neighbours and their distance in Å.
Atoms (fractional coordinates):
Dy1 0.5201 0.6888 0.2710  3 Sm 3.11-3.30, 2 Pm 3.34-3.45
Dy2 0.4799 0.3112 0.7290  3 Sm 3.11-3.30, 2 Pm 3.34-3.45
Dy3 0.0000 0.5000 0.5000  2 Sm 2.99
Pm1 0.8370 0.9471 0.3789  3 Dy 3.34-3.55, 3 Pm 3.62-3.70, 3 Sm 3.69-3.70
Pm2 0.1630 0.0529 0.6211  3 Dy 3.34-3.55, 3 Pm 3.62-3.70, 3 Sm 3.69-3.70
Pm3 0.8594 0.2229 0.0583  2 Pm 3.32-3.70, 1 Dy 3.45, 3 Sm 3.47-3.58
Pm4 0.1406 0.7771 0.9417  2 Pm 3.32-3.70, 1 Dy 3.45, 3 Sm 3.47-3.58
Sm1 0.6274 0.9465 0.7986  2 Dy 3.30-3.51, 1 Sm 3.47, 2 Pm 3.69
Sm2 0.5000 0.5000 0.5000  4 Dy 2.99-3.11
Sm3 0.7845 0.5429 0.8881  4 Dy 3.24-3.51, 3 Pm 3.47-3.58
Sm4 0.3726 0.0535 0.2014  2 Dy 3.30-3.51, 1 Sm 3.47, 2 Pm 3.69
Sm5 0.2155 0.4571 0.1119  4 Dy 3.24-3.51, 3 Pm 3.47-3.58

Output
- distance to the lowest polymorph of the same formula (meV per atom) = 202.6
- DOS at the Fermi energy (states/eV/f.u.) = 20.2

10.
Below is LaOs2W after structural relaxation, with properties calculated at the GGA-PBE level.

Cell lengths 4.6985, 4.6985, 4.6985 Å; angles 60.00, 60.00, 60.00 degrees
Last column: nearest neighbours and their distance in Å.
Atoms (fractional coordinates):
W1 0.5000 0.5000 0.5000  8 Os 2.88
La1 0.0000 0.0000 0.0000  8 Os 2.88
Os1 0.2500 0.2500 0.2500  4 La 2.88, 4 W 2.88
Os2 0.7500 0.7500 0.7500  4 La 2.88, 4 W 2.88

Output
- distance to the lowest polymorph of the same formula (meV per atom) = 481.2
- DOS at the Fermi energy (states/eV/f.u.) = 3.5